Computed, not measured: a geometry-optimized LiY2Pt2 structure at the PBEsol level of DFT.

* volume: 105 Å³/f.u.
* electronic total energy: -6.8443 eV per atom

Lattice parameters (Å, degrees): 7.5127 7.5127 3.7344 90.00 90.00 90.00
Last column: nearest neighbours and their distance in Å.
Element x y z (fractional)
Li: 0.0000 0.0000 0.0000  4 Pt 2.92
Li: 0.5000 0.5000 0.0000  4 Pt 2.92
Y: 0.1639 0.3361 0.5000  6 Pt 2.83-2.93
Y: 0.3361 0.8361 0.5000  6 Pt 2.83-2.93
Y: 0.6639 0.1639 0.5000  6 Pt 2.83-2.93
Y: 0.8361 0.6639 0.5000  6 Pt 2.83-2.93
Pt: 0.1358 0.6358 0.0000  6 Y 2.83-2.93, 1 Pt 2.89, 2 Li 2.92
Pt: 0.3642 0.1358 0.0000  6 Y 2.83-2.93, 1 Pt 2.89, 2 Li 2.92
Pt: 0.6358 0.8642 0.0000  6 Y 2.83-2.93, 1 Pt 2.89, 2 Li 2.92
Pt: 0.8642 0.3642 0.0000  6 Y 2.83-2.93, 1 Pt 2.89, 2 Li 2.92